First-principles (SCAN) data for LaFe2TeAu at its PBEsol-relaxed geometry, as listed in Alexandria.

Lattice parameters (Å, degrees): 4.655 4.655 5.990 90.00 90.00 90.00
Element x y z (fractional)
La  0.000  0.000  0.000
Fe  0.000  0.500  0.500
Fe  0.500  0.000  0.500
Te  0.000  0.000  0.500
Au  0.500  0.500  0.000

Computed properties:
As for the magnetization: 4.7 Bohr magnetons per cell. The value obtained for the density of states at the Fermi level is 0.7574 states/eV/atom. For the total energy, the calculation gives -36.6651 eV/atom. The uncorrected formation energy is 0.489 eV per atom. As for the space group: P4/mmm, No. 123.